1.
LiTl7 | GGA-PBE | optimized geometry

Cell and atoms, written as extended XYZ:
```
8
Lattice="0.000 4.872 4.872 4.872 0.000 4.872 4.872 4.872 0.000" Properties=species:S:1:pos:R:3 pbc="T T T"
Li 0.000 0.000 0.000
Tl 2.436 2.436 0.000
Tl 2.436 0.000 2.436
Tl 4.872 2.436 2.436
Tl 0.000 2.436 2.436
Tl 2.436 4.872 2.436
Tl 2.436 2.436 4.872
Tl 4.872 4.872 4.872
```

Computed properties:
- E: -18.6 eV/cell



2.
Pr3SmDy3 | GGA-PBE | optimized geometry

Cell and atoms, written as extended XYZ:
```
14
Lattice="9.734 0.000 0.000 -4.867 8.430 0.000 0.000 0.000 5.829" Properties=species:S:1:pos:R:3 pbc="T T T"
Pr -2.098 5.243 1.457
Pr 1.375 3.991 1.457
Pr 4.144 0.804 4.371
Pr 0.723 7.625 1.457
Pr 3.491 4.439 4.371
Pr 6.965 3.187 4.371
Sm 0.000 5.620 4.371
Sm 4.867 2.810 1.457
Dy -3.513 6.849 4.371
Dy 0.692 1.963 4.371
Dy 2.046 0.383 1.457
Dy 2.821 8.047 4.371
Dy 4.175 6.467 1.457
Dy 8.380 1.581 1.457
```

Computed properties:
- Relative energy among the computed polymorphs: 0.000 eV per atom



3.
ZnC3I | GGA-PBE | optimized geometry

Cell and atoms, written as extended XYZ:
```
5
Lattice="4.205 0.000 0.000 0.000 4.205 0.000 0.000 0.000 4.205" Properties=species:S:1:pos:R:3 pbc="T T T"
Zn 0.000 0.000 0.000
C 0.000 2.103 2.103
C 2.103 0.000 2.103
C 2.103 2.103 0.000
I 2.103 2.103 2.103
```

Computed properties:
- Relative energy among the computed polymorphs: 0.389 eV per atom



4.
Nd3ThGe3 | GGA-PBE | optimized geometry

Cell and atoms, written as extended XYZ:
```
14
Lattice="9.155 0.000 0.000 -4.577 7.928 0.000 0.000 0.000 5.969" Properties=species:S:1:pos:R:3 pbc="T T T"
Nd -2.906 5.517 1.492
Nd 1.253 2.653 1.492
Nd 2.924 0.242 4.477
Nd 1.653 7.687 1.492
Nd 3.325 5.275 4.477
Nd 7.483 2.412 4.477
Th 0.000 5.286 4.477
Th 4.577 2.643 1.492
Ge -2.943 5.228 4.477
Ge 1.522 2.766 4.477
Ge 3.156 0.065 1.492
Ge 1.421 7.864 4.477
Ge 3.056 5.163 1.492
Ge 7.521 2.701 1.492
```

Computed properties:
- E: -78.2 eV/cell



5.
ErThZnCd | GGA-PBE | optimized geometry

Cell and atoms, written as extended XYZ:
```
16
Lattice="7.418 0.000 0.000 0.000 7.418 0.000 0.000 0.000 7.418" Properties=species:S:1:pos:R:3 pbc="T T T"
Er 0.000 0.000 0.000
Er 0.000 3.709 3.709
Er 3.709 0.000 3.709
Er 3.709 3.709 0.000
Th 0.000 0.000 3.709
Th 0.000 3.709 0.000
Th 3.709 0.000 0.000
Th 3.709 3.709 3.709
Zn 1.855 1.855 1.855
Zn 1.855 5.564 5.564
Zn 5.564 1.855 5.564
Zn 5.564 5.564 1.855
Cd 1.855 1.855 5.564
Cd 1.855 5.564 1.855
Cd 5.564 1.855 1.855
Cd 5.564 5.564 5.564
```

Computed properties:
- E: -59.5 eV/cell



6.
CsBr2N | GGA-PBE | optimized geometry

Cell and atoms, written as extended XYZ:
```
16
Lattice="7.057 0.000 0.000 0.000 7.057 0.000 0.000 0.000 10.008" Properties=species:S:1:pos:R:3 pbc="T T T"
Cs 0.000 1.764 3.753
Cs 0.000 5.292 6.255
Cs 3.528 1.764 1.251
Cs 3.528 5.292 8.757
Br 0.000 0.000 0.000
Br 0.000 3.528 0.000
Br 1.764 1.764 7.506
Br 1.764 5.292 2.502
Br 3.528 0.000 5.004
Br 3.528 3.528 5.004
Br 5.292 1.764 7.506
Br 5.292 5.292 2.502
N 0.000 1.764 8.757
N 0.000 5.292 1.251
N 3.528 1.764 6.255
N 3.528 5.292 3.753
```

Computed properties:
- Relative energy among the computed polymorphs: 0.066 eV per atom



7.
ReSe2NCl | GGA-PBE | optimized geometry

Cell and atoms, written as extended XYZ:
```
5
Lattice="4.978 0.000 0.000 0.000 4.978 0.000 0.000 0.000 3.270" Properties=species:S:1:pos:R:3 pbc="T T T"
Re 0.000 0.000 0.000
Se 0.000 2.489 1.635
Se 2.489 0.000 1.635
N 2.489 2.489 0.000
Cl 2.489 2.489 1.635
```

Computed properties:
- Relative energy among the computed polymorphs: 1.613 eV per atom



8.
Dy2MgAu6 | GGA-PBE | optimized geometry

Cell and atoms, written as extended XYZ:
```
9
Lattice="5.453 -3.138 0.000 5.453 3.138 0.000 -0.005 0.000 5.519" Properties=species:S:1:pos:R:3 pbc="T T T"
Dy 1.816 0.000 0.916
Dy 9.086 0.000 4.603
Mg 5.453 0.000 0.000
Au 4.455 1.716 1.725
Au 3.455 0.000 3.802
Au 6.446 1.716 3.795
Au 4.455 -1.716 1.725
Au 7.447 0.000 1.717
Au 6.446 -1.716 3.795
```

Computed properties:
- Relative energy among the computed polymorphs: 0.070 eV per atom



no.,DOS at the Fermi energy (states/eV/atom),ρ (g/cm3)
1,0.543,10.323
2,1.771,7.365
3,0.787,5.098
4,0.473,6.766
5,1.384,9.389
6,0.000,4.088
7,0.779,8.066
8,0.409,13.459